[1]
First-principles (PBE-GGA) data for a relaxed Pu2ThTe4 crystal, as listed in Alexandria.

Output
* magnetization: 23.2 μB per cell
* E above lowest polymorph: 0.000 eV per atom
* energy: -8.011 eV per atom
* E_form (uncorrected): -1.0614 eV per atom
* DOS at the Fermi energy: 3.4806 states/eV/atom

Lattice parameters (Å, degrees): 7.545 7.545 15.092 90.00 90.00 146.67
Atoms (fractional coordinates):
Pu  0.136  0.864  0.565
Pu  0.136  0.864  0.935
Pu  0.864  0.136  0.065
Pu  0.864  0.136  0.435
Th  0.379  0.621  0.750
Th  0.621  0.379  0.250
Te  0.039  0.961  0.750
Te  0.223  0.777  0.127
Te  0.223  0.777  0.373
Te  0.500  0.500  0.000
Te  0.500  0.500  0.500
Te  0.777  0.223  0.627
Te  0.777  0.223  0.873
Te  0.961  0.039  0.250

[2]
First-principles (PBE-GGA) data for a relaxed SrLiH3 crystal, as listed in Alexandria.

Output
* magnetization: 0.0 μB per cell
* E above lowest polymorph: 0.477 eV per atom
* energy: -2.781 eV per atom
* DOS at the Fermi energy: 0.0000 states/eV/atom

Lattice parameters (Å, degrees): 4.643 4.643 4.643 90.00 90.00 90.00
Atoms (fractional coordinates):
Sr  0.000  0.000  0.000
Li  0.500  0.500  0.500
H  0.000  0.000  0.500
H  0.000  0.500  0.000
H  0.500  0.000  0.000

[3]
First-principles (PBE-GGA) data for a relaxed AcPuCo crystal, as listed in Alexandria.

Output
* magnetization: 13.8 μB per cell
* energy of formation: 0.4092 eV per atom
* E above lowest polymorph: 0.271 eV per atom
* energy: -8.106 eV per atom
* DOS at the Fermi energy: 2.3130 states/eV/atom

Lattice parameters (Å, degrees): 7.585 7.585 4.428 90.00 90.00 120.00
Atoms (fractional coordinates):
Ac  0.000  0.595  0.000
Ac  0.405  0.405  0.000
Ac  0.595  0.000  0.000
Pu  0.000  0.000  0.000
Pu  0.333  0.667  0.500
Pu  0.667  0.333  0.500
Co  0.000  0.242  0.500
Co  0.242  0.000  0.500
Co  0.758  0.758  0.500

[4]
First-principles (PBE-GGA) data for a relaxed Pb2WSe crystal, as listed in Alexandria.

Output
* magnetization: 1.3 μB per cell
* energy: -5.021 eV per atom
* E_form (uncorrected): 0.9422 eV per atom
* DOS at the Fermi energy: 0.8433 states/eV/atom

Lattice parameters (Å, degrees): 3.410 5.074 5.355 90.00 90.00 90.00
Atoms (fractional coordinates):
Pb  0.000  0.000  0.000
Pb  0.500  0.000  0.500
W  0.000  0.500  0.500
Se  0.500  0.500  0.000

[5]
First-principles (PBE-GGA) data for a relaxed Zn3CoPt4 crystal, as listed in Alexandria.

Output
* magnetization: 4.4 μB per cell
* energy of formation: -0.3924 eV per atom
* energy: -4.779 eV per atom
* DOS at the Fermi energy: 0.9439 states/eV/atom

Lattice parameters (Å, degrees): 8.905 5.650 4.576 90.00 90.00 90.00
Atoms (fractional coordinates):
Zn  0.000  0.000  0.000
Zn  0.250  0.000  0.395
Zn  0.250  0.500  0.385
Zn  0.500  0.000  0.000
Zn  0.750  0.000  0.605
Zn  0.750  0.500  0.615
Co  0.000  0.500  0.000
Co  0.500  0.500  0.000
Pt  0.000  0.252  0.500
Pt  0.000  0.748  0.500
Pt  0.250  0.253  0.893
Pt  0.250  0.747  0.893
Pt  0.500  0.252  0.500
Pt  0.500  0.748  0.500
Pt  0.750  0.253  0.107
Pt  0.750  0.747  0.107

[6]
First-principles (PBE-GGA) data for a relaxed CrHg3Au crystal, as listed in Alexandria.

Output
* magnetization: 4.7 μB per cell
* energy of formation: 0.6260 eV per atom
* E above lowest polymorph: 0.000 eV per atom
* energy: -2.135 eV per atom
* DOS at the Fermi energy: 0.3092 states/eV/atom

Lattice parameters (Å, degrees): 5.312 5.312 5.312 90.00 90.00 90.00
Atoms (fractional coordinates):
Cr  0.000  0.000  0.000
Hg  0.000  0.000  0.500
Hg  0.000  0.500  0.000
Hg  0.500  0.000  0.000
Au  0.500  0.500  0.500

[7]
First-principles (PBE-GGA) data for a relaxed LaPrAsO crystal, as listed in Alexandria.

Output
* magnetization: 0.0 μB per cell
* energy: -6.743 eV per atom
* E_form (uncorrected): -1.9142 eV per atom
* DOS at the Fermi energy: 0.6159 states/eV/atom

Lattice parameters (Å, degrees): 4.485 4.485 9.594 90.00 90.00 90.00
Atoms (fractional coordinates):
La  0.250  0.250  0.105
La  0.750  0.750  0.895
Pr  0.250  0.750  0.500
Pr  0.750  0.250  0.500
As  0.250  0.250  0.708
As  0.750  0.750  0.292
O  0.250  0.750  0.000
O  0.750  0.250  0.000

[8]
First-principles (PBE-GGA) data for a relaxed CuSn2Os crystal, as listed in Alexandria.

Output
* magnetization: 0.0 μB per cell
* energy of formation: 0.4084 eV per atom
* E above lowest polymorph: 0.001 eV per atom
* energy: -5.424 eV per atom
* DOS at the Fermi energy: 0.5907 states/eV/atom

Lattice parameters (Å, degrees): 4.658 4.658 4.658 60.00 60.00 60.00
Atoms (fractional coordinates):
Cu  0.000  0.000  0.000
Sn  0.250  0.250  0.250
Sn  0.750  0.750  0.750
Os  0.500  0.500  0.500

[9]
First-principles (PBE-GGA) data for a relaxed TcTePb2 crystal, as listed in Alexandria.

Output
* magnetization: 0.0 μB per cell
* energy: -5.067 eV per atom
* E_form (uncorrected): 0.1645 eV per atom
* DOS at the Fermi energy: 0.7290 states/eV/atom

Lattice parameters (Å, degrees): 3.316 3.316 9.289 90.00 90.00 90.00
Atoms (fractional coordinates):
Tc  0.000  0.000  0.000
Te  0.500  0.500  0.148
Pb  0.000  0.000  0.464
Pb  0.500  0.500  0.780

[10]
First-principles (PBE-GGA) data for a relaxed Nb2Pd3Pt4 crystal, as listed in Alexandria.

Output
* magnetization: 0.0 μB per cell
* energy of formation: -0.5458 eV per atom
* energy: -7.199 eV per atom
* DOS at the Fermi energy: 0.7537 states/eV/atom

Lattice parameters (Å, degrees): 4.899 4.899 8.438 106.93 106.93 47.86
Atoms (fractional coordinates):
Nb  0.169  0.169  0.227
Nb  0.831  0.831  0.773
Pd  0.168  0.168  0.556
Pd  0.500  0.500  0.000
Pd  0.832  0.832  0.444
Pt  0.167  0.167  0.891
Pt  0.499  0.499  0.672
Pt  0.501  0.501  0.328
Pt  0.833  0.833  0.109

[11]
First-principles (PBE-GGA) data for a relaxed Al2Ag2P crystal, as listed in Alexandria.

Output
* magnetization: 0.0 μB per cell
* energy of formation: 0.2298 eV per atom
* E above lowest polymorph: 0.000 eV per atom
* energy: -3.490 eV per atom
* DOS at the Fermi energy: 0.4976 states/eV/atom

Lattice parameters (Å, degrees): 7.805 7.805 2.900 90.00 90.00 90.00
Atoms (fractional coordinates):
Al  0.178  0.322  0.000
Al  0.322  0.822  0.000
Al  0.678  0.178  0.000
Al  0.822  0.678  0.000
Ag  0.124  0.624  0.500
Ag  0.376  0.124  0.500
Ag  0.624  0.876  0.500
Ag  0.876  0.376  0.500
P  0.000  0.000  0.000
P  0.500  0.500  0.000

[12]
First-principles (PBE-GGA) data for a relaxed Mg2F crystal, as listed in Alexandria.

Output
* magnetization: 0.0 μB per cell
* E above lowest polymorph: 0.049 eV per atom
* energy: -3.202 eV per atom
* E_form (uncorrected): -1.5156 eV per atom
* DOS at the Fermi energy: 0.1869 states/eV/atom

Lattice parameters (Å, degrees): 3.185 5.890 6.117 102.65 90.15 105.49
Atoms (fractional coordinates):
Mg  0.120  0.237  0.383
Mg  0.377  0.755  0.147
Mg  0.623  0.245  0.853
Mg  0.880  0.763  0.617
F  0.184  0.367  0.081
F  0.816  0.633  0.919